Record 1
# Li3YN

A relaxed Li3YN crystal (PBEsol, the Alexandria database).

- SG = Pm-3m
- formation energy without anion corrections (eV per atom) = 0.12

Cell: 4.1125 4.1125 4.1125 Å, 90.00 90.00 90.00°
Last column: nearest neighbours and their distance in Å.
Fractional positions:
Li 0.0000 0.0000 0.5000  2 N 2.06
Li 0.0000 0.5000 0.0000  2 N 2.06
Li 0.5000 0.0000 0.0000  2 N 2.06
Y 0.5000 0.5000 0.5000  12 Li 2.91
N 0.0000 0.0000 0.0000  6 Li 2.06

Record 2
# LiY3N

A relaxed LiY3N crystal (PBEsol, the Alexandria database).

- SG = Pm-3m
- formation energy without anion corrections (eV per atom) = 1.24

Cell: 4.8758 4.8758 4.8758 Å, 90.00 90.00 90.00°
Last column: nearest neighbours and their distance in Å.
Fractional positions:
Li 0.0000 0.0000 0.0000  6 Y 2.44
Y 0.0000 0.0000 0.5000  2 Li 2.44
Y 0.0000 0.5000 0.0000  2 Li 2.44
Y 0.5000 0.0000 0.0000  2 Li 2.44
N 0.5000 0.5000 0.5000  12 Y 3.45

Record 3
# Li3ZnN

A relaxed Li3ZnN crystal (PBEsol, the Alexandria database).

- SG = Pm-3m
- formation energy without anion corrections (eV per atom) = -0.18

Cell: 3.9488 3.9488 3.9488 Å, 90.00 90.00 90.00°
Last column: nearest neighbours and their distance in Å.
Fractional positions:
Li 0.0000 0.0000 0.5000  2 N 1.97
Li 0.0000 0.5000 0.0000  2 N 1.97
Li 0.5000 0.0000 0.0000  2 N 1.97
Zn 0.5000 0.5000 0.5000  12 Li 2.79
N 0.0000 0.0000 0.0000  6 Li 1.97